Compound: ScZnCoHg
Source: OQMD
Functional: PBE
Structure: relaxed

Calculated values
The total magnetization is 1.1 μB per formula unit. For the relative energy among the computed polymorphs, the calculation gives 0.000 eV/atom. The total energy comes out at -3.821 eV per atom. As for the symmetry: F-43m, No. 216.

The structure in POSCAR format:
```
ScZnCoHg
1.0
0.000 3.223 3.223
3.223 0.000 3.223
3.223 3.223 0.000
Hg Co Sc Zn
1 1 1 1
direct
0.250 0.250 0.250
0.750 0.750 0.750
0.500 0.500 0.500
0.000 0.000 0.000
```